# 1
## PPbO3 (meta-GGA SCAN)

Data for PPbO3 at its PBEsol-relaxed geometry.

## Properties
Uncorrected formation energy   -1123 meV per atom
Space group   Pm-3m (221)
Total energy   -22.098 eV per atom

```
5
Lattice="3.811 0.000 0.000 0.000 3.811 0.000 0.000 0.000 3.811" Properties=species:S:1:pos:R:3 pbc="T T T"
O 0.000 1.905 1.905
O 1.905 0.000 1.905
O 1.905 1.905 0.000
P 1.905 1.905 1.905
Pb 0.000 0.000 0.000
```



# 2
## LiZrBe (meta-GGA SCAN)

Data for LiZrBe at its PBEsol-relaxed geometry.

## Properties
Energy of formation from the pure elements   0.31 eV/atom
Space group   Imm2 (44)
Total energy   -12.168 eV per atom

```
3
Lattice="2.697 0.000 0.000 0.000 4.174 0.000 -1.348 -2.087 4.059" Properties=species:S:1:pos:R:3 pbc="T T T"
Be 1.348 2.087 4.018
Zr 0.000 0.000 2.777
Li 1.348 2.087 1.324
```



# 3
## CdP3 (meta-GGA SCAN)

Data for CdP3 at its PBEsol-relaxed geometry.

## Properties
Energy of formation from the pure elements   0.91 eV/atom
Relative energy among the computed polymorphs   967.6 meV/atom
Space group   Pm-3n (223)
Total energy   -14.497 eV per atom

```
8
Lattice="-2.199 -0.140 4.617 3.013 -3.919 1.316 3.501 3.285 1.767" Properties=species:S:1:pos:R:3 pbc="T T T"
Cd 0.000 0.000 0.000
Cd 2.157 -0.387 3.850
P -0.143 -2.064 4.121
P 0.957 -1.995 1.812
P 4.010 -1.297 1.871
P 2.504 0.663 1.213
P -0.224 0.751 2.750
P 1.526 2.394 3.634
```



# 4
## ScTlCoBi2 (meta-GGA SCAN)

Data for ScTlCoBi2 at its PBEsol-relaxed geometry.

## Properties
Energy of formation from the pure elements   1.23 eV/atom
Space group   P4/mmm (123)
Total energy   -50.984 eV per atom

```
5
Lattice="-2.719 -0.086 4.578 -1.068 -5.501 -0.737 4.741 -1.294 2.791" Properties=species:S:1:pos:R:3 pbc="T T T"
Sc -1.359 -0.043 2.289
Tl 0.000 0.000 0.000
Co 0.477 -3.440 3.316
Bi 2.370 -0.647 1.396
Bi -0.534 -2.750 -0.369
```



# 5
## CdRhNO2 (meta-GGA SCAN)

Data for CdRhNO2 at its PBEsol-relaxed geometry.

## Properties
Uncorrected formation energy   1243 meV per atom
Space group   P4/mmm (123)
Total energy   -15.945 eV per atom

```
5
Lattice="-0.300 3.998 0.786 0.413 -0.753 3.985 4.045 0.372 -0.349" Properties=species:S:1:pos:R:3 pbc="T T T"
N -0.150 1.999 0.393
Rh 2.079 1.809 2.211
O 2.022 0.186 -0.174
O 0.207 -0.376 1.993
Cd 0.000 0.000 0.000
```



# 6
## CdGeAs2O (meta-GGA SCAN)

Data for CdGeAs2O at its PBEsol-relaxed geometry.

## Properties
Uncorrected formation energy   1375 meV per atom
Space group   P4/mmm (123)
Total energy   -17.848 eV per atom

```
5
Lattice="5.007 0.000 0.000 0.000 5.007 0.000 0.000 0.000 5.167" Properties=species:S:1:pos:R:3 pbc="T T T"
As 0.000 2.504 0.000
As 2.504 0.000 0.000
Ge 0.000 0.000 2.584
O 2.504 2.504 2.584
Cd 0.000 0.000 0.000
```